The following is a PBE-GGA calculation of a geometry-optimized AcPd2Pt3 structure, from Alexandria.

As for the volume: 19.39 A^3/atom. The total energy is -36.978 eV per cell. As for the formation energy from the elements: -0.727 eV/atom.

It has space group P6/mmm (No. 191), with a = 5.4827 Å, b = 5.4827 Å, c = 4.4688 Å, α = 90.00°, β = 90.00° and γ = 120.00°. The distinct sites, in fractional coordinates, are Ac at (0.0000, 0.0000, 0.0000), Pd at (0.3333, 0.6667, 0.0000) and Pt at (0.0000, 0.5000, 0.5000).